Run a
SrAcSb2 | PBE | relaxed

The structure in POSCAR format:
```
SrAcSb2
1.0
4.241 0.000 0.000
0.000 4.241 0.000
0.000 0.000 7.533
Sr Ac Sb
1 1 2
direct
0.000 0.000 0.000
0.000 0.000 0.500
0.500 0.500 0.253
0.500 0.500 0.747
```

- Space group: P4/mmm
- Calculated volume: 135.49 Å³/cell

***

Run b
SrAcSb2 | PBE | relaxed

The structure in POSCAR format:
```
SrAcSb2
1.0
6.759 0.000 0.000
0.000 6.760 0.000
-6.750 0.000 13.577
Sr Ac Sb
4 4 8
direct
0.125 0.250 0.125
0.125 0.750 0.625
0.875 0.250 0.375
0.875 0.750 0.875
0.375 0.250 0.875
0.375 0.750 0.375
0.625 0.250 0.625
0.625 0.750 0.125
0.129 0.250 0.629
0.129 0.750 0.129
0.379 0.250 0.379
0.379 0.750 0.879
0.621 0.250 0.121
0.621 0.750 0.621
0.871 0.250 0.871
0.871 0.750 0.371
```

- Space group: P2/c
- Calculated volume: 620.38 Å³/cell

***

Most stable structure - run b; separation to the second - 7.4 kJ/mol of atoms.

***

Run a
SrAc2Sb | PBE | relaxed

The structure in POSCAR format:
```
SrAc2Sb
1.0
4.370 0.000 0.000
-2.185 3.784 0.000
0.000 0.000 36.592
Sr Ac Sb
3 6 3
direct
0.000 0.000 0.000
0.333 0.667 0.667
0.667 0.333 0.333
0.000 0.000 0.110
0.000 0.000 0.890
0.333 0.667 0.556
0.333 0.667 0.777
0.667 0.333 0.223
0.667 0.333 0.444
0.000 0.000 0.500
0.333 0.667 0.167
0.667 0.333 0.833
```

- Space group: R-3m
- Calculated volume: 605.08 Å³/cell

***

Run b
SrAc2Sb | PBE | relaxed

The structure in POSCAR format:
```
SrAc2Sb
1.0
5.306 0.000 0.000
0.000 5.306 0.000
0.000 0.000 5.293
Sr Ac Sb
1 2 1
direct
0.000 0.000 0.000
0.000 0.500 0.500
0.500 0.000 0.500
0.500 0.500 0.000
```

- Space group: P4/mmm
- Calculated volume: 149.03 Å³/cell

***

Most stable structure - run b; separation to the second - 8.1 kJ/mol of atoms.

***

Run a
Sr2AcSb | PBE | relaxed

The structure in POSCAR format:
```
Sr2AcSb
1.0
6.049 0.000 0.000
-3.024 5.238 0.000
0.000 0.000 14.788
Sr Ac Sb
6 3 3
direct
0.000 0.000 0.250
0.000 0.000 0.750
0.333 0.667 0.416
0.333 0.667 0.917
0.667 0.333 0.083
0.667 0.333 0.584
0.000 0.000 0.000
0.333 0.667 0.667
0.667 0.333 0.333
0.000 0.000 0.500
0.333 0.667 0.167
0.667 0.333 0.833
```

- Space group: R-3m
- Calculated volume: 468.56 Å³/cell

***

Run b
Sr2AcSb | PBE | relaxed

The structure in POSCAR format:
```
Sr2AcSb
1.0
5.202 0.000 0.000
0.000 5.202 0.000
0.000 0.000 5.604
Sr Ac Sb
2 1 1
direct
0.000 0.500 0.000
0.500 0.000 0.000
0.000 0.000 0.500
0.500 0.500 0.500
```

- Space group: P4/mmm
- Calculated volume: 151.68 Å³/cell

***

Most stable structure - run b; separation to the second - 26.3 kJ/mol of atoms.

***

Run a
SrAcSb | PBE | relaxed

The structure in POSCAR format:
```
SrAcSb
1.0
5.354 0.000 0.000
-2.677 4.637 0.000
0.000 0.000 4.743
Sr Ac Sb
1 1 1
direct
0.000 0.000 0.000
0.667 0.333 0.529
0.333 0.667 0.196
```

- Space group: P3m1
- Calculated volume: 117.73 Å³/cell

***

Run b
SrAcSb | PBE | relaxed

The structure in POSCAR format:
```
SrAcSb
1.0
4.157 0.000 0.000
0.000 4.157 0.000
0.000 0.000 14.422
Sr Ac Sb
2 2 2
direct
0.000 0.000 0.000
0.500 0.500 0.500
0.000 0.000 0.258
0.500 0.500 0.758
0.000 0.000 0.639
0.500 0.500 0.139
```

- Space group: I4mm
- Calculated volume: 249.17 Å³/cell

***

Run c
SrAcSb | PBE | relaxed

The structure in POSCAR format:
```
SrAcSb
1.0
7.870 0.000 0.000
0.000 7.870 0.000
0.000 0.000 7.870
Sr Ac Sb
4 4 4
direct
0.000 0.000 0.000
0.000 0.500 0.500
0.500 0.000 0.500
0.500 0.500 0.000
0.000 0.000 0.500
0.000 0.500 0.000
0.500 0.000 0.000
0.500 0.500 0.500
0.250 0.250 0.250
0.250 0.750 0.750
0.750 0.250 0.750
0.750 0.750 0.250
```

- Space group: F-43m
- Calculated volume: 487.41 Å³/cell

***

Most stable structure - run b; separation to the second - 1.6 kJ/mol of atoms.

***

Run a
AcTaSb2 | PBE | relaxed

The structure in POSCAR format:
```
AcTaSb2
1.0
3.611 0.000 0.000
0.000 3.611 0.000
0.000 0.000 7.946
Ac Ta Sb
1 1 2
direct
0.000 0.000 0.000
0.000 0.000 0.500
0.500 0.500 0.301
0.500 0.500 0.699
```

- Space group: P4/mmm
- Calculated volume: 103.59 Å³/cell

***

Run b
AcTaSb2 | PBE | relaxed

The structure in POSCAR format:
```
AcTaSb2
1.0
3.597 0.000 0.000
-1.798 3.115 0.000
0.000 0.000 32.273
Ac Ta Sb
3 3 6
direct
0.000 0.000 0.000
0.333 0.667 0.667
0.667 0.333 0.333
0.000 0.000 0.500
0.333 0.667 0.167
0.667 0.333 0.833
0.000 0.000 0.106
0.000 0.000 0.894
0.333 0.667 0.561
0.333 0.667 0.772
0.667 0.333 0.228
0.667 0.333 0.439
```

- Space group: R-3m
- Calculated volume: 361.52 Å³/cell

***

Most stable structure - run a; separation to the second - 33.4 kJ/mol of atoms.

***

Run a
AcSbTe3 | PBE | relaxed

The structure in POSCAR format:
```
AcSbTe3
1.0
9.200 0.000 0.000
0.000 4.665 0.000
0.000 0.000 15.866
Ac Sb Te
4 4 12
direct
0.096 0.250 0.168
0.404 0.750 0.668
0.596 0.250 0.332
0.904 0.750 0.832
0.156 0.750 0.442
0.344 0.250 0.942
0.656 0.750 0.058
0.844 0.250 0.558
0.027 0.750 0.628
0.145 0.750 0.006
0.181 0.250 0.783
0.319 0.750 0.283
0.355 0.250 0.506
0.473 0.250 0.128
0.527 0.750 0.872
0.645 0.750 0.494
0.681 0.250 0.717
0.819 0.750 0.217
0.855 0.250 0.994
0.973 0.250 0.372
```

- Space group: Pnma
- Calculated volume: 680.89 Å³/cell

***

Run b
AcSbTe3 | PBE | relaxed

The structure in POSCAR format:
```
AcSbTe3
1.0
9.453 -2.312 0.000
9.453 2.312 0.000
-1.159 0.000 8.821
Ac Sb Te
2 2 6
direct
0.207 0.207 0.244
0.793 0.793 0.756
0.440 0.440 0.295
0.560 0.560 0.705
0.025 0.025 0.214
0.177 0.177 0.607
0.342 0.342 0.018
0.658 0.658 0.982
0.823 0.823 0.393
0.975 0.975 0.786
```

- Space group: C2/m
- Calculated volume: 385.57 Å³/cell

***

Most stable structure - run a; separation to the second - 10.8 kJ/mol of atoms.

***

Run a
AcSbTe2 | PBE | relaxed

The structure in POSCAR format:
```
AcSbTe2
1.0
5.364 0.000 0.000
0.000 5.364 0.000
0.000 0.000 4.351
Ac Sb Te
1 1 2
direct
0.000 0.000 0.000
0.500 0.500 0.000
0.000 0.500 0.500
0.500 0.000 0.500
```

- Space group: P4/mmm
- Calculated volume: 125.19 Å³/cell

***

Run b
AcSbTe2 | PBE | relaxed

The structure in POSCAR format:
```
AcSbTe2
1.0
5.465 0.000 0.000
-2.733 4.733 0.000
0.000 0.000 15.134
Ac Sb Te
3 3 6
direct
0.000 0.000 0.000
0.333 0.667 0.667
0.667 0.333 0.333
0.000 0.000 0.500
0.333 0.667 0.167
0.667 0.333 0.833
0.000 0.000 0.233
0.000 0.000 0.767
0.333 0.667 0.434
0.333 0.667 0.900
0.667 0.333 0.100
0.667 0.333 0.566
```

- Space group: R-3m
- Calculated volume: 391.47 Å³/cell

***

Most stable structure - run a; separation to the second - 11.7 kJ/mol of atoms.

***

Run a
AcTiSb3 | PBE | relaxed

The structure in POSCAR format:
```
AcTiSb3
1.0
14.002 0.000 0.000
0.000 6.449 0.000
0.000 0.000 6.309
Ac Ti Sb
4 4 12
direct
0.188 0.006 0.250
0.188 0.494 0.750
0.812 0.506 0.250
0.812 0.994 0.750
0.416 0.750 0.000
0.416 0.750 0.500
0.584 0.250 0.000
0.584 0.250 0.500
0.002 0.750 0.000
0.002 0.750 0.500
0.289 0.508 0.250
0.289 0.992 0.750
0.432 0.105 0.250
0.432 0.395 0.750
0.568 0.605 0.250
0.568 0.895 0.750
0.711 0.008 0.250
0.711 0.492 0.750
0.998 0.250 0.000
0.998 0.250 0.500
```

- Space group: Pbcm
- Calculated volume: 569.70 Å³/cell

***

Run b
AcTiSb3 | PBE | relaxed

The structure in POSCAR format:
```
AcTiSb3
1.0
5.324 0.000 0.000
0.000 5.324 0.000
0.000 0.000 5.324
Ac Ti Sb
1 1 3
direct
0.000 0.000 0.000
0.500 0.500 0.500
0.000 0.500 0.500
0.500 0.000 0.500
0.500 0.500 0.000
```

- Space group: Pm-3m
- Calculated volume: 150.90 Å³/cell

***

Most stable structure - run a; separation to the second - 27.6 kJ/mol of atoms.

***

Run a
Ac2TlSb | PBE | relaxed

The structure in POSCAR format:
```
Ac2TlSb
1.0
4.879 0.000 0.000
0.000 26.455 0.000
0.000 0.000 4.770
Ac Tl Sb
8 4 4
direct
0.000 0.064 0.250
0.000 0.315 0.250
0.000 0.685 0.750
0.000 0.936 0.750
0.500 0.185 0.750
0.500 0.436 0.750
0.500 0.564 0.250
0.500 0.815 0.250
0.000 0.459 0.250
0.000 0.541 0.750
0.500 0.041 0.750
0.500 0.959 0.250
0.000 0.188 0.250
0.000 0.812 0.750
0.500 0.312 0.750
0.500 0.688 0.250
```

- Space group: Cmcm
- Calculated volume: 615.65 Å³/cell

***

Run b
Ac2TlSb | PBE | relaxed

The structure in POSCAR format:
```
Ac2TlSb
1.0
5.472 0.000 0.000
-2.736 4.739 0.000
0.000 0.000 16.716
Ac Tl Sb
6 3 3
direct
0.000 0.000 0.247
0.000 0.000 0.753
0.333 0.667 0.419
0.333 0.667 0.914
0.667 0.333 0.086
0.667 0.333 0.581
0.000 0.000 0.000
0.333 0.667 0.667
0.667 0.333 0.333
0.000 0.000 0.500
0.333 0.667 0.167
0.667 0.333 0.833
```

- Space group: R-3m
- Calculated volume: 433.45 Å³/cell

***

Most stable structure - run a; separation to the second - 17.3 kJ/mol of atoms.

***

Run a
AcTlSb | PBE | relaxed

The structure in POSCAR format:
```
AcTlSb
1.0
7.801 0.000 0.000
0.000 7.801 0.000
0.000 0.000 7.801
Ac Tl Sb
4 4 4
direct
0.000 0.000 0.000
0.000 0.500 0.500
0.500 0.000 0.500
0.500 0.500 0.000
0.250 0.250 0.250
0.250 0.750 0.750
0.750 0.250 0.750
0.750 0.750 0.250
0.250 0.250 0.750
0.250 0.750 0.250
0.750 0.250 0.250
0.750 0.750 0.750
```

- Space group: F-43m
- Calculated volume: 474.69 Å³/cell

***

Run b
AcTlSb | PBE | relaxed

The structure in POSCAR format:
```
AcTlSb
1.0
4.202 0.000 0.000
0.000 4.202 0.000
0.000 0.000 11.127
Ac Tl Sb
2 2 2
direct
0.000 0.000 0.000
0.500 0.500 0.500
0.000 0.000 0.689
0.500 0.500 0.189
0.000 0.000 0.330
0.500 0.500 0.830
```

- Space group: I4mm
- Calculated volume: 196.48 Å³/cell

***

Most stable structure - run b; separation to the second - 14.1 kJ/mol of atoms.

***

Run a
AcTmSb | PBE | relaxed

The structure in POSCAR format:
```
AcTmSb
1.0
4.058 0.000 0.000
0.000 4.058 0.000
0.000 0.000 12.027
Ac Tm Sb
2 2 2
direct
0.000 0.000 0.000
0.500 0.500 0.500
0.000 0.000 0.707
0.500 0.500 0.207
0.000 0.000 0.315
0.500 0.500 0.815
```

- Space group: I4mm
- Calculated volume: 198.10 Å³/cell

***

Run b
AcTmSb | PBE | relaxed

The structure in POSCAR format:
```
AcTmSb
1.0
5.203 0.000 0.000
-2.601 4.506 0.000
0.000 0.000 4.364
Ac Tm Sb
1 1 1
direct
0.000 0.000 0.000
0.667 0.333 0.500
0.333 0.667 0.500
```

- Space group: P-6m2
- Calculated volume: 102.29 Å³/cell

***

Run c
AcTmSb | PBE | relaxed

The structure in POSCAR format:
```
AcTmSb
1.0
12.610 0.000 0.000
0.000 4.375 0.000
-4.674 0.000 7.403
Ac Tm Sb
4 4 4
direct
0.075 0.000 0.341
0.425 0.500 0.659
0.575 0.500 0.341
0.925 0.000 0.659
0.155 0.500 0.057
0.345 0.000 0.943
0.655 0.000 0.057
0.845 0.500 0.943
0.162 0.500 0.707
0.338 0.000 0.293
0.662 0.000 0.707
0.838 0.500 0.293
```

- Space group: C2/m
- Calculated volume: 408.41 Å³/cell

***

Most stable structure - run c; separation to the second - 11.3 kJ/mol of atoms.

***

Run a
Ac2TmSb | PBE | relaxed

The structure in POSCAR format:
```
Ac2TmSb
1.0
5.232 0.000 0.000
0.000 5.232 0.000
0.000 0.000 4.941
Ac Tm Sb
2 1 1
direct
0.000 0.500 0.000
0.500 0.000 0.000
0.000 0.000 0.500
0.500 0.500 0.500
```

- Space group: P4/mmm
- Calculated volume: 135.24 Å³/cell

***

Run b
Ac2TmSb | PBE | relaxed

The structure in POSCAR format:
```
Ac2TmSb
1.0
8.278 0.000 0.000
0.000 8.278 0.000
0.000 0.000 8.278
Ac Tm Sb
8 4 4
direct
0.250 0.250 0.250
0.250 0.250 0.750
0.250 0.750 0.250
0.250 0.750 0.750
0.750 0.250 0.250
0.750 0.250 0.750
0.750 0.750 0.250
0.750 0.750 0.750
0.000 0.000 0.000
0.000 0.500 0.500
0.500 0.000 0.500
0.500 0.500 0.000
0.000 0.000 0.500
0.000 0.500 0.000
0.500 0.000 0.000
0.500 0.500 0.500
```

- Space group: Fm-3m
- Calculated volume: 567.25 Å³/cell

***

Most stable structure - run a; separation to the second - 19.5 kJ/mol of atoms.